# KLuMo2O8, relaxed, DFT PBE+U
# Final energy (eV per atom): -7.12
# Space-group type: No. 15
data_KLuMo2O8
_chemical_formula_sum 'K2 Lu2 Mo4 O16'
_space_group_name_H-M_alt 'P 1'
_space_group_IT_number 1
_space_group_name_Hall 'P 1'
_cell_length_a 7.4379
_cell_length_b 7.4379
_cell_length_c 7.6967
_cell_angle_alpha 61.50
_cell_angle_beta 61.50
_cell_angle_gamma 87.23
loop_
_atom_site_label
_atom_site_fract_x
_atom_site_fract_y
_atom_site_fract_z
_atom_site_occupancy
O1 0.2253 0.3904 0.9405 1
O2 0.5897 0.3686 0.9621 1
O3 0.0624 0.3735 0.3856 1
O4 0.3904 0.2253 0.4405 1
O5 0.2129 0.0423 0.3046 1
O6 0.3686 0.5897 0.4621 1
O7 0.6265 0.9376 0.1144 1
O8 0.9376 0.6265 0.6144 1
O9 0.7871 0.9577 0.6954 1
O10 0.4103 0.6314 0.0379 1
O11 0.6096 0.7747 0.5595 1
O12 0.7747 0.6096 0.0595 1
O13 0.6314 0.4103 0.5379 1
O14 0.9577 0.7871 0.1954 1
O15 0.0423 0.2129 0.8046 1
O16 0.3735 0.0624 0.8856 1
Mo1 0.3057 0.3001 0.2389 1
Mo2 0.6943 0.6999 0.7611 1
Mo3 0.3001 0.3057 0.7389 1
Mo4 0.6999 0.6943 0.2611 1
K1 0.1976 0.8024 0.7500 1
K2 0.8024 0.1976 0.2500 1
Lu1 0.7721 0.2279 0.7500 1
Lu2 0.2279 0.7721 0.2500 1